# 1
Entry from the Alexandria database: an optimized crystal structure of LiZn2Cr (GGA-PBE).

Calculated formation energy (eV/atom): 0.1216

a = 3.923 Å, b = 2.563 Å, c = 6.109 Å
α = 65.38°, β = 90.00°, γ = 90.00°
Last column: magnetic moment on the atom in μB.
Sites, in units of the cell vectors:
Cr 0.500 0.250 0.250  2.03
Li 0.500 0.750 0.750  -0.02
Zn 0.000 0.992 0.007  -0.02
Zn 0.000 0.508 0.493  -0.02

---

# 2
Entry from the Alexandria database: an optimized crystal structure of Li4ZnCr (GGA-PBE).

Calculated formation energy (eV/atom): 0.2621

a = 5.106 Å, b = 5.106 Å, c = 5.106 Å
α = 60.00°, β = 60.00°, γ = 60.00°
Last column: magnetic moment on the atom in μB.
Sites, in units of the cell vectors:
Li 0.875 0.375 0.375  -0.03
Li 0.375 0.375 0.875  -0.03
Li 0.375 0.875 0.375  -0.03
Li 0.375 0.375 0.375  -0.03
Zn 0.750 0.750 0.750  -0.04
Cr 0.000 0.000 0.000  3.82

---

# 3
Entry from the Alexandria database: an optimized crystal structure of LiZn2Cr (GGA-PBE).

Calculated formation energy (eV/atom): 0.2002

a = 4.676 Å, b = 4.676 Å, c = 4.877 Å
α = 79.52°, β = 79.52°, γ = 35.71°
Last column: magnetic moment on the atom in μB.
Sites, in units of the cell vectors:
Cr 0.750 0.750 0.750  3.44
Li 0.250 0.250 0.250  -0.01
Zn 0.004 0.004 0.999  -0.02
Zn 0.496 0.496 0.501  -0.02

---

# 4
Entry from the Alexandria database: an optimized crystal structure of LiZn4Cr (GGA-PBE).

Calculated formation energy (eV/atom): 0.0202

a = 5.073 Å, b = 5.073 Å, c = 5.073 Å
α = 60.00°, β = 60.00°, γ = 60.00°
Last column: magnetic moment on the atom in μB.
Sites, in units of the cell vectors:
Li 0.000 0.000 0.000  -0.01
Zn 0.375 0.875 0.375  0.00
Zn 0.875 0.375 0.375  0.00
Zn 0.375 0.375 0.875  0.00
Zn 0.375 0.375 0.375  0.00
Cr 0.750 0.750 0.750  3.70

---

Mass density, record by record: 5.6 2.6 5.2 5.8 g cm⁻³